(1)
Below is a relaxed structure of KBa2Pd, with properties calculated at the GGA-PBE level.

Results
For the energy relative to the elements, the calculation gives -273 meV/atom. Its total energy is -22.46 eV/cell. Its space group is P6_3/mmc. For the energy above the lowest structure with this stoichiometry, the calculation gives 42 meV per atom.

Cell lengths 4.599, 4.599, 24.574 Å; angles 90.00, 90.00, 120.00 degrees
Sites, in units of the cell vectors:
K (0.667, 0.333, 0.750)
K (0.333, 0.667, 0.250)
Ba (0.333, 0.667, 0.429)
Ba (0.667, 0.333, 0.929)
Ba (0.333, 0.667, 0.071)
Ba (0.667, 0.333, 0.571)
Pd (0.000, 0.000, 0.000)
Pd (0.000, 0.000, 0.500)

=====

(2)
Below is a relaxed structure of K2Ba2Pd, with properties calculated at the GGA-PBE level.

Results
For the energy relative to the elements, the calculation gives -144 meV/atom. Its total energy is -11.95 eV/cell. Its space group is C2/m. For the energy above the lowest structure with this stoichiometry, the calculation gives 0 meV per atom.

Cell lengths 4.558, 7.941, 10.583 Å; angles 50.15, 77.54, 73.34 degrees
Sites, in units of the cell vectors:
K (0.875, 0.876, 0.373)
K (0.125, 0.124, 0.627)
Ba (0.617, 0.654, 0.111)
Ba (0.383, 0.346, 0.889)
Pd (0.000, 0.000, 0.000)

=====

(3)
Below is a relaxed structure of KBa2Pd, with properties calculated at the GGA-PBE level.

Results
For the energy relative to the elements, the calculation gives -316 meV/atom. Its total energy is -11.40 eV/cell. Its space group is C2/m. For the energy above the lowest structure with this stoichiometry, the calculation gives 0 meV per atom.

Cell lengths 4.651, 4.656, 11.322 Å; angles 90.20, 90.00, 119.96 degrees
Sites, in units of the cell vectors:
K (0.000, 0.000, 0.000)
Ba (0.332, 0.665, 0.348)
Ba (0.668, 0.335, 0.652)
Pd (0.000, 0.000, 0.500)

=====

(4)
Below is a relaxed structure of KBaPd10, with properties calculated at the GGA-PBE level.

Results
For the energy relative to the elements, the calculation gives -133 meV/atom. Its total energy is -56.54 eV/cell. Its space group is Pmmm.

Cell lengths 4.405, 5.561, 9.598 Å; angles 90.00, 90.00, 90.00 degrees
Sites, in units of the cell vectors:
K (0.000, 0.500, 0.500)
Ba (0.000, 0.000, 0.000)
Pd (0.000, 0.000, 0.336)
Pd (0.000, 0.500, 0.830)
Pd (0.000, 0.500, 0.170)
Pd (0.000, 0.000, 0.664)
Pd (0.500, 0.000, 0.500)
Pd (0.500, 0.500, 0.000)
Pd (0.500, 0.250, 0.251)
Pd (0.500, 0.750, 0.749)
Pd (0.500, 0.750, 0.251)
Pd (0.500, 0.250, 0.749)

=====

(5)
Below is a relaxed structure of KBa2Pd, with properties calculated at the GGA-PBE level.

Results
For the energy relative to the elements, the calculation gives 41 meV/atom. Its total energy is -9.97 eV/cell. Its space group is Fm-3m. For the energy above the lowest structure with this stoichiometry, the calculation gives 356 meV per atom.

Cell lengths 6.049, 6.049, 6.049 Å; angles 60.00, 60.00, 60.00 degrees
Sites, in units of the cell vectors:
K (0.000, 0.000, 0.000)
Ba (0.250, 0.250, 0.250)
Ba (0.750, 0.750, 0.750)
Pd (0.500, 0.500, 0.500)

=====

(6)
Below is a relaxed structure of KBa2Pd2, with properties calculated at the GGA-PBE level.

Results
For the energy relative to the elements, the calculation gives -365 meV/atom. Its total energy is -17.16 eV/cell. Its space group is P2/m.

Cell lengths 4.395, 4.628, 10.007 Å; angles 103.20, 90.00, 90.00 degrees
Sites, in units of the cell vectors:
K (0.000, 0.000, 0.000)
Ba (0.500, 0.663, 0.325)
Ba (0.500, 0.337, 0.675)
Pd (0.000, 0.210, 0.419)
Pd (0.000, 0.790, 0.581)

=====

(7)
Below is a relaxed structure of KBa2Pd2, with properties calculated at the GGA-PBE level.

Results
For the energy relative to the elements, the calculation gives -184 meV/atom. Its total energy is -16.25 eV/cell. Its space group is I4/mmm.

Cell lengths 5.932, 5.932, 6.713 Å; angles 63.78, 63.78, 90.00 degrees
Sites, in units of the cell vectors:
K (0.000, 0.000, 0.000)
Ba (0.750, 0.250, 0.500)
Ba (0.250, 0.750, 0.500)
Pd (0.371, 0.371, 0.258)
Pd (0.629, 0.629, 0.742)

=====

(8)
Below is a relaxed structure of K2BaPd2, with properties calculated at the GGA-PBE level.

Results
For the energy relative to the elements, the calculation gives -54 meV/atom. Its total energy is -14.77 eV/cell. Its space group is I4/mmm. For the energy above the lowest structure with this stoichiometry, the calculation gives 0 meV per atom.

Cell lengths 4.724, 4.724, 8.157 Å; angles 73.17, 73.17, 90.00 degrees
Sites, in units of the cell vectors:
K (0.750, 0.250, 0.500)
K (0.250, 0.750, 0.500)
Ba (0.000, 0.000, 0.000)
Pd (0.410, 0.410, 0.180)
Pd (0.590, 0.590, 0.820)

=====

(9)
Below is a relaxed structure of KBa2Pd, with properties calculated at the GGA-PBE level.

Results
For the energy relative to the elements, the calculation gives -312 meV/atom. Its total energy is -11.38 eV/cell. Its space group is R3m. For the energy above the lowest structure with this stoichiometry, the calculation gives 4 meV per atom.

Cell lengths 4.651, 4.651, 11.687 Å; angles 78.52, 78.52, 60.00 degrees
Sites, in units of the cell vectors:
K (0.500, 0.500, 0.499)
Ba (0.050, 0.050, 0.849)
Ba (0.283, 0.283, 0.152)
Pd (0.666, 0.666, 0.001)

=====

(10)
Below is a relaxed structure of KBaRePd2, with properties calculated at the GGA-PBE level.

Results
For the energy relative to the elements, the calculation gives 1653 meV/atom. Its total energy is -17.59 eV/cell. Its space group is P4/mmm.

Cell lengths 5.609, 6.117, 5.609 Å; angles 90.00, 90.00, 90.00 degrees
Site moments in Bohr magnetons follow the coordinates.
Sites, in units of the cell vectors:
Re (0.000, 0.500, 0.000)  3.29
K (0.500, 0.500, 0.500)  0.00
Ba (0.000, 0.000, 0.000)  -0.03
Pd (0.000, 0.000, 0.500)  0.04
Pd (0.500, 0.000, 0.000)  0.03

=====

(11)
Below is a relaxed structure of K2Ba2Sb4Pd, with properties calculated at the GGA-PBE level.

Results
The calculation puts the uncorrected formation energy at -589 meV per atom. Its total energy is -33.03 eV/cell. Its space group is I4/mmm.

Cell lengths 7.500, 7.500, 7.500 Å; angles 93.52, 117.99, 117.99 degrees
Sites, in units of the cell vectors:
K (0.000, 0.702, 0.702)
K (0.000, 0.298, 0.298)
Ba (0.500, 0.750, 0.250)
Ba (0.500, 0.250, 0.750)
Sb (0.000, 0.759, 0.241)
Sb (0.517, 0.759, 0.759)
Sb (0.000, 0.241, 0.759)
Sb (0.483, 0.241, 0.241)
Pd (0.000, 0.000, 0.000)

=====

(12)
Below is a relaxed structure of KBaSb2Pd5, with properties calculated at the GGA-PBE level.

Results
The calculation puts the uncorrected formation energy at -426 meV per atom. Its total energy is -41.06 eV/cell. Its space group is P4/mmm.

Cell lengths 4.916, 4.916, 8.854 Å; angles 90.00, 90.00, 90.00 degrees
Sites, in units of the cell vectors:
K (0.000, 0.000, 0.000)
Ba (0.000, 0.000, 0.500)
Sb (0.500, 0.500, 0.180)
Sb (0.500, 0.500, 0.820)
Pd (0.000, 0.500, 0.286)
Pd (0.500, 0.000, 0.286)
Pd (0.000, 0.500, 0.714)
Pd (0.500, 0.000, 0.714)
Pd (0.500, 0.500, 0.500)

=====

(13)
Below is a relaxed structure of K2BaSrPd, with properties calculated at the GGA-PBE level.

Results
For the energy relative to the elements, the calculation gives 417 meV/atom. Its total energy is -8.91 eV/cell. Its space group is P4/mmm.

Cell lengths 7.391, 5.540, 7.391 Å; angles 90.00, 90.00, 90.00 degrees
Sites, in units of the cell vectors:
Sr (0.500, 0.500, 0.500)
K (0.000, 0.000, 0.500)
K (0.500, 0.000, 0.000)
Ba (0.000, 0.000, 0.000)
Pd (0.000, 0.500, 0.000)

=====

(14)
Below is a relaxed structure of KBaTl2Pd, with properties calculated at the GGA-PBE level.

Results
For the energy relative to the elements, the calculation gives -182 meV/atom. Its total energy is -13.85 eV/cell. Its space group is P4/mmm. For the energy above the lowest structure with this stoichiometry, the calculation gives 0 meV per atom.

Cell lengths 5.589, 5.589, 5.822 Å; angles 90.00, 90.00, 90.00 degrees
Sites, in units of the cell vectors:
K (0.500, 0.500, 0.500)
Tl (0.000, 0.500, 0.000)
Tl (0.500, 0.000, 0.000)
Ba (0.000, 0.000, 0.500)
Pd (0.000, 0.000, 0.000)

=====

Number 1: spin magnetization 0.0000 μB/atom. Number 2: spin magnetization 0.0000 μB/atom. Number 3: spin magnetization 0.0000 μB/atom. Number 4: spin magnetization 0.0000 μB/atom. Number 5: spin magnetization 0.0000 μB/atom. Number 6: spin magnetization 0.0000 μB/atom. Number 7: spin magnetization 0.0000 μB/atom. Number 8: spin magnetization 0.0000 μB/atom. Number 9: spin magnetization 0.0000 μB/atom. Number 10: spin magnetization 0.7658 μB/atom. Number 11: spin magnetization 0.0000 μB/atom. Number 12: spin magnetization 0.0000 μB/atom. Number 13: spin magnetization 0.0000 μB/atom. Number 14: spin magnetization 0.0000 μB/atom.